1.
Compound: ErMgNi
Source: Alexandria via LeMat-Bulk
Functional: PBE
Structure: relaxed

Output
**Raw total energy**: -25.14 eV per cell
**Calculated volume**: 60.6 Å³/f.u.

Cell lengths 3.260, 3.260, 11.394 Å; angles 90.00, 90.00, 90.13 degrees
Fractional coordinates of all 6 atoms:
Er1 0.000 0.000 0.226
Er2 0.000 0.000 0.774
Mg1 0.000 0.000 0.500
Mg2 0.500 0.500 0.000
Ni1 0.500 0.500 0.370
Ni2 0.500 0.500 0.630



2.
Compound: ErMg2Ni2
Source: Alexandria via LeMat-Bulk
Functional: PBE
Structure: relaxed

Output
**Raw total energy**: -40.44 eV per cell
**Calculated volume**: 95.6 Å³/f.u.

Cell lengths 4.837, 3.965, 10.159 Å; angles 90.00, 101.12, 90.00 degrees
Fractional coordinates of all 10 atoms:
Er1 0.022 0.250 0.269
Er2 0.978 0.750 0.731
Mg1 0.253 0.250 0.982
Mg2 0.423 0.250 0.606
Mg3 0.577 0.750 0.394
Mg4 0.747 0.750 0.018
Ni1 0.110 0.750 0.473
Ni2 0.297 0.750 0.152
Ni3 0.703 0.250 0.848
Ni4 0.890 0.250 0.527